(1)
First-principles (GGA-PBE) data for a geometry-optimized CrGeAu14 structure, as listed in Alexandria via LeMat-Bulk.

CIF file:
```
data_CrGeAu14
_cell_length_a 9.581
_cell_length_b 5.868
_cell_length_c 10.231
_cell_angle_alpha 90.00
_cell_angle_beta 90.00
_cell_angle_gamma 90.00
_space_group_name_H-M_alt 'A m m 2'
_space_group_IT_number 38
loop_
_space_group_symop_operation_xyz
'x,y,z'
'-x,-y,z'
'-x,y,z'
'x,-y,z'
'x,y+1/2,z+1/2'
'-x,-y+1/2,z+1/2'
'-x,y+1/2,z+1/2'
'x,-y+1/2,z+1/2'
loop_
_atom_site_label
_atom_site_fract_x
_atom_site_fract_y
_atom_site_fract_z
Cr1 0.000 0.000 0.000
Ge1 0.000 0.000 0.495
Au1 0.000 0.248 0.746
Au2 0.244 0.249 0.922
Au3 0.247 0.000 0.169
Au4 0.252 0.000 0.671
Au5 0.500 0.000 0.339
Au6 0.500 0.000 0.840
Au7 0.500 0.249 0.088
```

## Properties
- Electronic total energy: -3.71 eV/atom
- Energy relative to the elements: 0.05 eV per atom
- Total magnetization: 7.60 μB per cell

=====

(2)
First-principles (GGA-PBE) data for a geometry-optimized Pm5Nd4Y2 structure, as listed in Alexandria via LeMat-Bulk.

CIF file:
```
data_Pm5Nd4Y2
_cell_length_a 24.430
_cell_length_b 3.583
_cell_length_c 8.836
_cell_angle_alpha 90.00
_cell_angle_beta 94.41
_cell_angle_gamma 90.00
_space_group_name_H-M_alt 'C 1 2/m 1'
_space_group_IT_number 12
loop_
_space_group_symop_operation_xyz
'x,y,z'
'-x,-y,-z'
'-x,y,-z'
'x,-y,z'
'x+1/2,y+1/2,z'
'-x+1/2,-y+1/2,-z'
'-x+1/2,y+1/2,-z'
'x+1/2,-y+1/2,z'
loop_
_atom_site_label
_atom_site_fract_x
_atom_site_fract_y
_atom_site_fract_z
Pm1 0.000 0.000 0.000
Pm2 0.131 0.500 0.048
Pm3 0.185 0.500 0.475
Nd1 0.041 0.500 0.346
Nd2 0.226 0.000 0.827
Y1 0.087 0.000 0.697
```

## Properties
- Energy relative to the lowest polymorph listed for this composition: 0 meV per atom
- Electronic total energy: -4.97 eV/atom
- Energy relative to the elements: 0.10 eV per atom
- Total magnetization: 0.00 μB per cell

=====

(3)
First-principles (GGA-PBE) data for a geometry-optimized ReSn2I structure, as listed in Alexandria via LeMat-Bulk.

CIF file:
```
data_ReSn2I
_cell_length_a 6.658
_cell_length_b 6.658
_cell_length_c 13.340
_cell_angle_alpha 90.00
_cell_angle_beta 90.00
_cell_angle_gamma 90.00
_space_group_name_H-M_alt 'I -4 2 d'
_space_group_IT_number 122
_space_group_name_Hall 'I -4 2bw'
loop_
_atom_site_label
_atom_site_fract_x
_atom_site_fract_y
_atom_site_fract_z
Re1 0.000 0.000 0.000
Sn1 0.153 0.250 0.125
I1 0.000 0.000 0.500
```

## Properties
- Energy relative to the lowest polymorph listed for this composition: 0 meV per atom
- Electronic total energy: -4.68 eV/atom
- Total magnetization: 0.00 μB per cell